# K2Pu3NiO12

A relaxed K2Pu3NiO12 crystal (PBE with a Hubbard U, the Alexandria database).

a = 7.3608 Å, b = 7.3608 Å, c = 7.3608 Å
α = 64.33°, β = 64.33°, γ = 64.33°
Fractional coordinates of all 18 atoms:
K (0.1285, 0.1285, 0.1285)
K (0.8715, 0.8715, 0.8715)
Pu (0.0000, 0.5000, 0.5000)
Pu (0.5000, 0.0000, 0.5000)
Pu (0.5000, 0.5000, 0.0000)
Ni (0.5000, 0.5000, 0.5000)
O (0.1769, 0.1769, 0.5660)
O (0.1769, 0.5660, 0.1769)
O (0.1832, 0.5634, 0.5634)
O (0.4340, 0.8231, 0.8231)
O (0.4366, 0.4366, 0.8168)
O (0.4366, 0.8168, 0.4366)
O (0.5634, 0.1832, 0.5634)
O (0.5634, 0.5634, 0.1832)
O (0.5660, 0.1769, 0.1769)
O (0.8168, 0.4366, 0.4366)
O (0.8231, 0.4340, 0.8231)
O (0.8231, 0.8231, 0.4340)

* density of states at the Fermi level: 3.1 states/eV per cell
* size of the total moment: 6.00 μB/f.u.
* space group: No. 166
* calculated total energy: -8.1367 eV/atom
* calculated density: 5.70 g/cm³